# GGA-PBE CeDyBi2, relaxed
# **Distance to the lowest polymorph of the same formula**: 4.74 kcal/mol of atoms
# **VASP energy**: -5.1959 eV per atom
data_CeDyBi2
_symmetry_space_group_name_H-M 'P 4/m m m'
_symmetry_Int_Tables_number 123
_symmetry_space_group_name_Hall '-P 4 2'
_cell_length_a 5.471
_cell_length_b 5.471
_cell_length_c 3.998
_cell_angle_alpha 90.00
_cell_angle_beta 90.00
_cell_angle_gamma 90.00
loop_
_atom_site_label
_atom_site_type_symbol
_atom_site_fract_x
_atom_site_fract_y
_atom_site_fract_z
Ce1 Ce 0.000 0.000 0.000
Dy1 Dy 0.500 0.500 0.000
Bi1 Bi 0.000 0.500 0.500